## Ca8Rh2Au3 (PBE)

Data for a relaxed structure of Ca8Rh2Au3.

Cell: 8.687 8.687 5.010 Å, 90.00 90.00 109.95°
Element x y z (fractional)
1 Ca 0.869 0.131 0.000
2 Ca 0.879 0.616 0.500
3 Ca 0.384 0.121 0.500
4 Ca 0.632 0.368 0.000
5 Ca 0.368 0.632 0.000
6 Ca 0.121 0.384 0.500
7 Ca 0.616 0.879 0.500
8 Ca 0.131 0.869 0.000
9 Rh 0.247 0.753 0.500
10 Rh 0.753 0.247 0.500
11 Au 0.750 0.750 0.000
12 Au 0.250 0.250 0.000
13 Au 0.000 0.000 0.500

Calculated values
- E_form: -0.518 eV per atom
- Uncorrected energy: -3.64 eV/atom
- Magnetic moment: 0.0 μB per formula unit
- Calculated volume: 355 Å³ per cell


## CaRh2Au2 (PBE)

Data for a relaxed structure of CaRh2Au2.

Cell: 4.663 4.663 5.843 Å, 66.48 66.48 90.00°
Element x y z (fractional)
1 Au 0.750 0.250 0.500
2 Au 0.250 0.750 0.500
3 Rh 0.379 0.379 0.242
4 Rh 0.621 0.621 0.758
5 Ca 0.000 0.000 0.000

Calculated values
- E_form: -0.059 eV per atom
- Uncorrected energy: -4.71 eV/atom
- Magnetic moment: 0.0 μB per formula unit
- Relative energy among the computed polymorphs: 83.3 meV per atom
- Calculated volume: 105 Å³ per cell